VASP calculation (PBE+U) on crystalline CrSnO2 at its relaxed geometry.

Properties
The calculation puts the energy above the lowest structure with this stoichiometry at 0.141 eV/atom. The value obtained for the total energy is -6.73 eV/atom.

```
data_CrSnO2
_chemical_formula_sum 'Cr2 Sn2 O4'
_cell_length_a 5.3965
_cell_length_b 3.0534
_cell_length_c 6.8323
_cell_angle_alpha 90.00
_cell_angle_beta 107.36
_cell_angle_gamma 90.00
_symmetry_space_group_name_H-M 'C 1 2/m 1'
_symmetry_Int_Tables_number 12
loop_
_symmetry_equiv_pos_as_xyz
'x,y,z'
'-x,-y,-z'
'-x,y,-z'
'x,-y,z'
'x+1/2,y+1/2,z'
'-x+1/2,-y+1/2,-z'
'-x+1/2,y+1/2,-z'
'x+1/2,-y+1/2,z'
loop_
_atom_site_label
_atom_site_type_symbol
_atom_site_fract_x
_atom_site_fract_y
_atom_site_fract_z
_atom_site_occupancy
Cr1 Cr 0.0000 0.0000 0.0000 1
Sn1 Sn 0.0000 0.0000 0.5000 1
O1 O 0.1106 0.5000 0.8426 1
```